This record from Alexandria describes a relaxed ErTiGe2O8 crystal. The functional is PBE.

The space group is I-4m2 (No. 119) and the conventional cell measures 6.762, 6.762 and 6.336 Å, with angles of 90.00, 90.00 and 90.00 degrees. Symmetry generates all atoms from Er at (0.000, 0.000, 0.000), Ti at (0.000, 0.500, 0.750), Ge at (0.000, 0.000, 0.500), Ge at (0.000, 0.500, 0.250), O at (0.000, 0.200, 0.683) and O at (0.000, 0.321, 0.050).

---

This record from Alexandria describes a relaxed PrPaIn crystal. The functional is PBE.

The space group is Fmmm (No. 69) and the conventional cell measures 6.008, 9.405 and 12.621 Å, with angles of 90.00, 90.00 and 90.00 degrees. Symmetry generates all atoms from Pr at (0.000, 0.179, 0.000), Pa at (0.250, 0.250, 0.250) and In at (0.000, 0.000, 0.383).

The formation energy is 174 meV per atom. For the offset from the most stable computed form, the calculation gives 13 meV per atom.

---

This record from Alexandria describes a relaxed MgMn2SbN crystal. The functional is PBE.

The space group is P4/mmm (No. 123) and the conventional cell measures 4.155, 4.155 and 4.284 Å, with angles of 90.00, 90.00 and 90.00 degrees. Symmetry generates all atoms from Mg at (0.000, 0.000, 0.000), Mn at (0.000, 0.500, 0.500), Sb at (0.500, 0.500, 0.000) and N at (0.000, 0.000, 0.500).

---

This record from Alexandria describes a relaxed BeSi2C crystal. The functional is PBE.

The space group is Fm-3m (No. 225) and the conventional cell measures 5.568, 5.568 and 5.568 Å, with angles of 90.00, 90.00 and 90.00 degrees. Symmetry generates all atoms from Be at (0.000, 0.000, 0.000), Si at (0.250, 0.250, 0.250) and C at (0.000, 0.000, 0.500).

For the offset from the most stable computed form, the calculation gives 901 meV per atom.

---

This record from Alexandria describes a relaxed KBa2NaAg crystal. The functional is PBE.

The space group is P4/mmm (No. 123) and the conventional cell measures 6.583, 6.583 and 6.145 Å, with angles of 90.00, 90.00 and 90.00 degrees. Symmetry generates all atoms from K at (0.000, 0.000, 0.000), Ba at (0.000, 0.500, 0.500), Na at (0.500, 0.500, 0.000) and Ag at (0.500, 0.500, 0.500).

The formation energy is -10 meV per atom. For the offset from the most stable computed form, the calculation gives 0 meV per atom.

---

This record from Alexandria describes a relaxed Ba3BiW crystal. The functional is PBE.

The space group is Pm-3m (No. 221) and the conventional cell measures 5.898, 5.898 and 5.898 Å, with angles of 90.00, 90.00 and 90.00 degrees. Symmetry generates all atoms from Ba at (0.000, 0.000, 0.500), Bi at (0.500, 0.500, 0.500) and W at (0.000, 0.000, 0.000).

The formation energy is 591 meV per atom. For the offset from the most stable computed form, the calculation gives 0 meV per atom.

---

This record from Alexandria describes a relaxed LiAsPd2 crystal. The functional is PBE.

The space group is R3m (No. 160, hexagonal axes) and the conventional cell measures 4.2273, 4.2273 and 12.9545 Å, with angles of 90.00, 90.00 and 120.00 degrees. Symmetry generates all atoms from Li at (0.0000, 0.0000, 0.0000), As at (0.0000, 0.0000, 0.1995), Pd at (0.0000, 0.0000, 0.5665) and Pd at (0.0000, 0.0000, 0.7890).

The formation energy is -384 meV per atom.

---

This record from Alexandria describes a relaxed Sr11Tl4Hg9 crystal. The functional is PBE.

The space group is Cmmm (No. 65) and the conventional cell measures 16.410, 24.076 and 3.984 Å, with angles of 90.00, 90.00 and 90.00 degrees. Symmetry generates all atoms from Sr at (0.000, 0.000, 0.000), Sr at (0.000, 0.170, 0.000), Sr at (0.000, 0.341, 0.000), Sr at (0.241, 0.000, 0.000), Sr at (0.244, 0.169, 0.000), Tl at (0.136, 0.417, 0.500), Hg at (0.000, 0.500, 0.500), Hg at (0.122, 0.084, 0.500) and Hg at (0.122, 0.255, 0.500).

The formation energy is -446 meV per atom.

---

| no. | spin magnetization (Bohr magnetons per cell) | E_tot (eV/atom) |
| --- | --- | --- |
| 1 | 1.8 | -7.25 |
| 2 | 9.1 | -5.50 |
| 3 | 7.1 | -6.60 |
| 4 | 0.0 | -4.57 |
| 5 | 0.0 | -1.83 |
| 6 | 0.0 | -3.93 |
| 7 | 0.0 | -4.62 |
| 8 | 0.0 | -1.72 |